Entry 1:
Material: TlHg5
Method: DFT, PBE
State: relaxed

abc: 4.9559 9.9525 6.7761
angles: 90.00 90.05 90.00
Closest atoms and distances in Å follow each position.
Space group P2_1/m (No. 11)
One atom of each set of equivalent atoms:
Tl  0.2474  0.2500  0.1315 x2  12 Hg 3.34-3.46
Hg  0.2474  0.2500  0.6299 x2  10 Hg 3.28-3.46, 2 Tl 3.38-3.40
Hg  0.2511  0.5795  0.6207 x4  10 Hg 3.28-3.46, 2 Tl 3.44-3.45
Hg  0.2515  0.5852  0.1288 x4  9 Hg 3.28-3.48, 3 Tl 3.34-3.46

## Properties
E (Ry/atom): -0.04890
V (Å³/cell): 334.2
E above lowest polymorph (meV per atom): 0.0
Crystal system: monoclinic
Mass density (Mg/m³): 12.00

---

Entry 2:
Material: PmBi3
Method: DFT, PBE
State: relaxed

abc: 4.3078 12.4431 9.4855
angles: 90.00 90.00 90.00
Closest atoms and distances in Å follow each position.
Space group Cmcm (No. 63)
One atom of each set of equivalent atoms:
Pm  0.0000  0.1920  0.2500 x4  9 Bi 3.28-3.59
Bi  0.0000  0.0967  0.7500 x4  4 Bi 3.25, 3 Pm 3.40-3.59
Bi  0.0000  0.3749  0.5043 x8  3 Bi 3.11-3.25, 3 Pm 3.28-3.32

## Properties
E (Ry/atom): -0.33563
V (Å³/cell): 508.4
Crystal system: orthorhombic
Mass density (Mg/m³): 10.08

---

Entry 3:
Material: RbNaAsPd
Method: DFT, PBE
State: relaxed

abc: 6.0593 5.6695 6.4324
angles: 90.00 104.35 90.00
Closest atoms and distances in Å follow each position.
Space group P2_1/m (No. 11)
One atom of each set of equivalent atoms:
Rb  0.0412  0.2500  0.1724 x2  2 Na 3.39-3.74, 4 As 3.41-3.63, 4 Pd 3.49-3.53, 2 Rb 3.56
Na  0.3455  0.7500  0.5268 x2  3 As 3.02-3.13, 2 Pd 3.28
As  0.2819  0.2500  0.7107 x2  2 Pd 2.45
Pd  0.5000  0.0000  0.0000 x2  2 As 2.45

## Properties
E (Ry/atom): -0.24890
V (Å³/cell): 214.1
E above lowest polymorph (meV per atom): 0.0
Crystal system: monoclinic
Mass density (Mg/m³): 4.50

---

Entry 4:
Material: ThHg
Method: DFT, PBE
State: relaxed

abc: 6.3332 6.3332 6.3332
angles: 90.00 90.00 90.00
Closest atoms and distances in Å follow each position.
Space group Fm-3m (No. 225)
One atom of each set of equivalent atoms:
Th  0.0000  0.0000  0.0000 x4  6 Hg 3.17
Hg  0.0000  0.0000  0.5000 x4  6 Th 3.17

## Properties
E (Ry/atom): -0.27543
V (Å³/cell): 254.0
Formation energy (eV per atom): 0.108
Crystal system: cubic
Mass density (Mg/m³): 11.31

---

Question: Look up the mass density of the third one.
Answer: 4.50 Mg/m³